Record 1
An optimized crystal structure of Mg5Se4. Source: the Alexandria database, functional GGA-PBE. Values from VASP.

Geometry as Quantum ESPRESSO input:
```
&SYSTEM
  ibrav = 0, nat = 9, ntyp = 2
/
ATOMIC_SPECIES
Mg 24.30 Mg.upf
Se 78.96 Se.upf
CELL_PARAMETERS angstrom
-5.200 5.200 1.938
5.200 -5.200 1.938
5.200 5.200 -1.938
ATOMIC_POSITIONS crystal
Mg 0.654 0.346 0.000
Mg 0.346 0.346 0.692
Mg 0.346 0.654 0.000
Mg 0.000 0.000 0.000
Mg 0.654 0.654 0.308
Se 0.736 0.000 0.736
Se 0.264 0.000 0.264
Se 0.000 0.736 0.736
Se 0.000 0.264 0.264
```

Calculated values
DOS(E_F) (states/eV/cell): 2.47
Calculated volume (Å³ per cell): 210
Calculated density (g/cm3): 3.5
Excess energy over the best structure of this formula in the dataset (meV/atom): 61
E (eV per formula unit): -28.4

Record 2
An optimized crystal structure of Mg4Se. Source: the Alexandria database, functional GGA-PBE. Values from VASP.

Geometry as Quantum ESPRESSO input:
```
&SYSTEM
  ibrav = 0, nat = 5, ntyp = 2
/
ATOMIC_SPECIES
Mg 24.30 Mg.upf
Se 78.96 Se.upf
CELL_PARAMETERS angstrom
-2.812 -3.747 -2.976
-3.313 2.114 3.920
1.752 4.075 -3.337
ATOMIC_POSITIONS crystal
Mg 0.000 0.000 0.500
Mg 0.000 0.500 0.000
Mg 0.500 0.000 0.000
Mg 0.500 0.500 0.500
Se 0.000 0.000 0.000
```

Calculated values
DOS(E_F) (states/eV/cell): 1.84
Calculated volume (Å³ per cell): 132
Calculated density (g/cm3): 2.2
Excess energy over the best structure of this formula in the dataset (meV/atom): 252
E (eV per formula unit): -9.9

| no. | total magnetic moment (μB per formula unit) |
| --- | --- |
| 1 | 0.0 |
| 2 | 0.0 |